Here is TiCu2HPd after structural relaxation from the Alexandria database. Energies are from PBE-GGA.

Results
Energy relative to the lowest polymorph listed for this composition (meV/atom): 0

a b c (Å): 3.850 3.850 3.930
angles (deg): 90.00 90.00 90.00
Last column: magnetic moment on the atom in μB.
Positions (direct):
H  0.000  0.000  0.000  0.00
Cu  0.000  0.500  0.000  0.03
Cu  0.500  0.000  0.000  0.03
Pd  0.500  0.500  0.500  0.05
Ti  0.000  0.000  0.500  0.43

---

Here is Ho2Al3Rh after structural relaxation from the Alexandria database. Energies are from PBE-GGA.

Results
E_form (kJ per mole of atoms): -68.5

a b c (Å): 5.485 5.485 5.414
angles (deg): 90.04 120.54 119.85
Positions (direct):
Ho  0.749  0.374  0.123
Ho  0.251  0.626  0.877
Al  0.500  0.500  0.500
Al  0.000  0.000  0.500
Al  0.500  0.000  0.500
Rh  0.000  0.000  0.000

---

How do the records compare in total energy? In the order shown, they have -25.273; -31.992 eV per formula unit.